No. 1
This record from Alexandria describes PmBRh2 after structural relaxation. The functional is PBE.

Geometry as POSCAR:
```
PmBRh2
1.0
2.917 0.000 0.000
0.000 2.917 0.000
0.000 0.000 7.031
Pm B Rh
1 1 2
direct
0.000 0.000 0.000
0.000 0.000 0.500
0.500 0.500 0.319
0.500 0.500 0.681
```

Output
DOS at the Fermi energy: 2.59 states/eV per cell
relative energy among the computed polymorphs: 0.540 eV/atom
crystal system: tetragonal
space-group type: P4/mmm, No. 123
calculated formation energy: -0.04 eV/atom

No. 2
This record from Alexandria describes Ba3Er2O6 after structural relaxation. The functional is PBE.

Geometry as POSCAR:
```
Ba3Er2O6
1.0
-2.187 2.187 10.868
2.187 -2.187 10.868
2.187 2.187 -10.868
Ba Er O
3 2 6
direct
0.000 0.000 0.000
0.183 0.183 0.000
0.817 0.817 0.000
0.398 0.398 0.000
0.602 0.602 0.000
0.083 0.583 0.500
0.302 0.302 0.000
0.417 0.917 0.500
0.583 0.083 0.500
0.698 0.698 0.000
0.917 0.417 0.500
```

Output
DOS at the Fermi energy: 0.00 states/eV per cell
uncorrected formation energy: -2.99 eV per atom
crystal system: tetragonal
space-group type: I4/mmm, No. 139

No. 3
This record from Alexandria describes NaEuSnPb after structural relaxation. The functional is PBE.

Geometry as POSCAR:
```
NaEuSnPb
1.0
0.000 3.891 3.891
3.891 0.000 3.891
3.891 3.891 0.000
Na Eu Sn Pb
1 1 1 1
direct
0.000 0.000 0.000
0.500 0.500 0.500
0.750 0.750 0.750
0.250 0.250 0.250
```

Output
DOS at the Fermi energy: 1.95 states/eV per cell
crystal system: cubic
space-group type: F-43m, No. 216
calculated formation energy: -0.35 eV/atom

No. 4
This record from Alexandria describes Mo2RuN after structural relaxation. The functional is PBE.

Geometry as POSCAR:
```
Mo2RuN
1.0
2.737 0.000 0.000
0.000 2.737 0.000
0.000 0.000 6.589
Mo Ru N
2 1 1
direct
0.000 0.000 0.206
0.000 0.000 0.794
0.500 0.500 0.500
0.500 0.500 0.000
```

Output
DOS at the Fermi energy: 1.69 states/eV per cell
uncorrected formation energy: 0.08 eV per atom
crystal system: tetragonal
space-group type: P4/mmm, No. 123

No. 5
This record from Alexandria describes Ga2GePd after structural relaxation. The functional is PBE.

Geometry as POSCAR:
```
Ga2GePd
1.0
1.509 0.871 8.998
-1.509 0.871 8.998
0.000 -1.742 8.998
Ga Ge Pd
2 1 1
direct
0.095 0.095 0.095
0.905 0.905 0.905
0.000 0.000 0.000
0.500 0.500 0.500
```

Output
DOS at the Fermi energy: 1.18 states/eV per cell
crystal system: trigonal
space-group type: R-3m, No. 166
calculated formation energy: -0.20 eV/atom

No. 6
This record from Alexandria describes VTcGe2 after structural relaxation. The functional is PBE.

Geometry as POSCAR:
```
VTcGe2
1.0
-1.870 1.870 9.063
1.870 -1.870 9.063
1.870 1.870 -9.063
V Tc Ge
2 2 4
direct
0.000 0.000 0.000
0.750 0.250 0.500
0.250 0.750 0.500
0.500 0.500 0.000
0.120 0.625 0.995
0.375 0.370 0.495
0.630 0.125 0.005
0.875 0.880 0.505
```

Output
DOS at the Fermi energy: 7.12 states/eV per cell
relative energy among the computed polymorphs: 0.311 eV/atom
crystal system: tetragonal
space-group type: I-42d, No. 122
calculated formation energy: 0.25 eV/atom

No. 7
This record from Alexandria describes SrCr3Se after structural relaxation. The functional is PBE.

Geometry as POSCAR:
```
SrCr3Se
1.0
5.669 0.000 0.000
0.000 5.669 0.000
0.000 0.000 5.669
Sr Cr Se
1 3 1
direct
0.000 0.000 0.000
0.000 0.000 0.500
0.000 0.500 0.000
0.500 0.000 0.000
0.500 0.500 0.500
```

Output
DOS at the Fermi energy: 4.39 states/eV per cell
relative energy among the computed polymorphs: 1.537 eV/atom
uncorrected formation energy: 2.19 eV per atom
crystal system: cubic
space-group type: Pm-3m, No. 221

No. 8
This record from Alexandria describes MnIn2Au after structural relaxation. The functional is PBE.

Geometry as POSCAR:
```
MnIn2Au
1.0
3.513 0.000 0.000
0.000 4.451 0.000
-1.380 0.000 5.295
Mn In Au
1 2 1
direct
0.000 0.000 0.000
0.443 0.500 0.846
0.696 0.000 0.469
0.137 0.500 0.301
```

Output
DOS at the Fermi energy: 2.42 states/eV per cell
relative energy among the computed polymorphs: 0.026 eV/atom
crystal system: monoclinic
space-group type: Pm, No. 6
calculated formation energy: 0.06 eV/atom

No. 9
This record from Alexandria describes LiPRu after structural relaxation. The functional is PBE.

Geometry as POSCAR:
```
LiPRu
1.0
3.879 0.000 0.000
-1.940 3.360 0.000
0.000 0.000 6.564
Li P Ru
2 2 2
direct
0.000 0.000 0.000
0.333 0.667 0.786
0.333 0.667 0.186
0.667 0.333 0.610
0.000 0.000 0.540
0.667 0.333 0.252
```

Output
DOS at the Fermi energy: 2.11 states/eV per cell
crystal system: trigonal
space-group type: P3m1, No. 156
calculated formation energy: -0.54 eV/atom

No. 10
This record from Alexandria describes Rb4Hg5Sb2 after structural relaxation. The functional is PBE.

Geometry as POSCAR:
```
Rb4Hg5Sb2
1.0
8.449 0.000 0.000
0.000 5.565 0.000
-0.588 0.000 9.503
Rb Hg Sb
4 5 2
direct
0.229 0.000 0.368
0.236 0.000 0.906
0.764 0.000 0.094
0.771 0.000 0.632
0.161 0.500 0.623
0.446 0.500 0.155
0.500 0.500 0.500
0.554 0.500 0.845
0.839 0.500 0.377
0.069 0.500 0.140
0.931 0.500 0.860
```

Output
DOS at the Fermi energy: 4.94 states/eV per cell
uncorrected formation energy: -0.26 eV per atom
crystal system: monoclinic
space-group type: P2/m, No. 10

No. 11
This record from Alexandria describes Co2CuRuC after structural relaxation. The functional is PBE.

Geometry as POSCAR:
```
Co2CuRuC
1.0
3.771 0.000 0.000
0.000 3.771 0.000
0.000 0.000 3.968
Co Cu Ru C
2 1 1 1
direct
0.000 0.500 0.000
0.500 0.000 0.000
0.000 0.000 0.500
0.500 0.500 0.500
0.500 0.500 0.000
```

Output
DOS at the Fermi energy: 4.35 states/eV per cell
crystal system: tetragonal
space-group type: P4/mmm, No. 123
calculated formation energy: 0.23 eV/atom

No. 12
This record from Alexandria describes MoAu2 after structural relaxation. The functional is PBE.

Geometry as POSCAR:
```
MoAu2
1.0
2.886 0.000 0.000
-1.443 2.499 0.000
0.000 0.000 7.131
Mo Au
1 2
direct
0.000 0.000 0.000
0.333 0.667 0.675
0.667 0.333 0.325
```

Output
DOS at the Fermi energy: 2.61 states/eV per cell
crystal system: trigonal
space-group type: P-3m1, No. 164
calculated formation energy: 0.24 eV/atom

Computed total energy, in the same sequence as the records: -6.577, -7.050, -5.180, -9.738, -4.170, -6.932, -4.618, -4.421, -6.076, -1.499, -7.130, -5.558 eV/atom.